Record 1
Zn6CdAu12 GGA-PBE optimized geometry; V = 326.8 Å³ per cell; energy of formation from the pure elements = -0.15 eV per atom; E_tot = -2.674 eV/atom; energy above the lowest structure with this stoichiometry = 0.000 eV per atom
1.0
6.341 3.661 2.347
-6.341 3.661 2.347
0.000 -7.321 2.347
Zn Cd Au
6 1 12
direct
0.049 0.575 0.352 Zn
0.352 0.049 0.575 Zn
0.425 0.648 0.951 Zn
0.575 0.352 0.049 Zn
0.648 0.951 0.425 Zn
0.951 0.425 0.648 Zn
0.000 0.000 0.000 Cd
0.116 0.167 0.734 Au
0.167 0.734 0.116 Au
0.201 0.344 0.479 Au
0.266 0.884 0.833 Au
0.344 0.479 0.201 Au
0.479 0.201 0.344 Au
0.521 0.799 0.656 Au
0.656 0.521 0.799 Au
0.734 0.116 0.167 Au
0.799 0.656 0.521 Au
0.833 0.266 0.884 Au
0.884 0.833 0.266 Au

Record 2
Zn3CdAu6 GGA-PBE optimized geometry; V = 371.5 Å³ per cell; energy of formation from the pure elements = -0.12 eV per atom; E_tot = -2.558 eV/atom; energy above the lowest structure with this stoichiometry = 0.056 eV per atom
1.0
4.794 -6.591 0.000
4.794 6.591 0.000
0.000 0.000 5.879
Zn Cd Au
6 2 12
direct
0.102 0.898 0.500 Zn
0.216 0.400 0.258 Zn
0.400 0.216 0.758 Zn
0.600 0.784 0.258 Zn
0.784 0.600 0.758 Zn
0.898 0.102 0.000 Zn
0.313 0.687 0.680 Cd
0.687 0.313 0.180 Cd
0.012 0.457 0.940 Au
0.097 0.210 0.618 Au
0.210 0.097 0.118 Au
0.256 0.744 0.149 Au
0.457 0.012 0.440 Au
0.486 0.514 0.985 Au
0.514 0.486 0.485 Au
0.543 0.988 0.940 Au
0.744 0.256 0.649 Au
0.790 0.903 0.618 Au
0.903 0.790 0.118 Au
0.988 0.543 0.440 Au

Record 3
Zn2Cd4Au5 GGA-PBE optimized geometry; V = 420.4 Å³ per cell; energy of formation from the pure elements = -0.16 eV per atom; E_tot = -2.213 eV/atom
1.0
-4.335 9.041 2.682
4.335 -9.041 2.682
4.335 9.041 -2.682
Zn Cd Au
4 8 10
direct
0.049 0.250 0.799 Zn
0.451 0.250 0.201 Zn
0.549 0.750 0.799 Zn
0.951 0.750 0.201 Zn
0.063 0.234 0.297 Cd
0.144 0.604 0.748 Cd
0.356 0.104 0.459 Cd
0.437 0.734 0.172 Cd
0.563 0.266 0.828 Cd
0.644 0.896 0.541 Cd
0.856 0.396 0.252 Cd
0.937 0.766 0.703 Cd
0.079 0.908 0.987 Au
0.217 0.290 0.507 Au
0.250 0.750 0.500 Au
0.283 0.790 0.073 Au
0.421 0.408 0.829 Au
0.579 0.592 0.171 Au
0.717 0.210 0.927 Au
0.750 0.250 0.500 Au
0.783 0.710 0.493 Au
0.921 0.092 0.013 Au

Record 4
Zn7Cd2Au2 GGA-PBE optimized geometry; V = 190.9 Å³ per cell; energy of formation from the pure elements = -0.07 eV per atom; E_tot = -1.646 eV/atom
1.0
4.984 -4.456 0.000
4.984 4.456 0.000
-2.418 0.000 4.299
Zn Cd Au
7 2 2
direct
0.000 0.000 0.000 Zn
0.066 0.588 0.846 Zn
0.408 0.408 0.170 Zn
0.412 0.934 0.154 Zn
0.588 0.066 0.846 Zn
0.592 0.592 0.830 Zn
0.934 0.412 0.154 Zn
0.192 0.808 0.500 Cd
0.808 0.192 0.500 Cd
0.272 0.272 0.542 Au
0.728 0.728 0.458 Au

Record 5
Zn6CdAu6 GGA-PBE optimized geometry; V = 220.6 Å³ per cell; energy of formation from the pure elements = -0.16 eV per atom; E_tot = -2.336 eV/atom
1.0
-2.628 4.541 4.623
2.628 -4.541 4.623
2.628 4.541 -4.623
Zn Cd Au
6 1 6
direct
0.000 0.000 0.500 Zn
0.000 0.500 0.000 Zn
0.244 0.000 0.244 Zn
0.500 0.000 0.000 Zn
0.500 0.500 0.500 Zn
0.756 0.000 0.756 Zn
0.000 0.500 0.500 Cd
0.170 0.170 0.000 Au
0.336 0.500 0.836 Au
0.336 0.836 0.500 Au
0.664 0.164 0.500 Au
0.664 0.500 0.164 Au
0.830 0.830 0.000 Au

Record 6
ZnCdAu2 GGA-PBE optimized geometry; V = 156.3 Å³ per cell; energy of formation from the pure elements = -0.04 eV per atom; E_tot = -2.225 eV/atom
1.0
-3.747 3.747 2.783
3.747 -3.747 2.783
3.747 3.747 -2.783
Zn Cd Au
2 2 4
direct
0.000 0.000 0.000 Zn
0.750 0.250 0.500 Zn
0.250 0.750 0.500 Cd
0.500 0.500 0.000 Cd
0.099 0.125 0.474 Au
0.375 0.901 0.026 Au
0.651 0.625 0.526 Au
0.875 0.349 0.974 Au

Record 7
ZnCd2Au GGA-PBE optimized geometry; V = 77.2 Å³ per cell; energy of formation from the pure elements = -0.06 eV per atom; E_tot = -1.658 eV/atom
1.0
3.562 0.000 0.000
0.000 3.600 0.000
0.000 0.000 6.015
Zn Cd Au
1 2 1
direct
0.000 0.000 0.000 Zn
0.000 0.000 0.527 Cd
0.500 0.500 0.259 Cd
0.500 0.500 0.787 Au

Record 8
ZnCd2Au GGA-PBE optimized geometry; V = 173.2 Å³ per cell; energy of formation from the pure elements = 0.07 eV per atom; E_tot = -1.526 eV/atom
1.0
-3.982 3.982 2.731
3.982 -3.982 2.731
3.982 3.982 -2.731
Zn Cd Au
2 4 2
direct
0.000 0.000 0.000 Zn
0.750 0.250 0.500 Zn
0.130 0.625 0.005 Cd
0.375 0.380 0.505 Cd
0.620 0.125 0.995 Cd
0.875 0.870 0.495 Cd
0.250 0.750 0.500 Au
0.500 0.500 0.000 Au